Computed, not measured: a crystal of CoTe4Ir relaxed with PBEsol at the SCAN level of DFT.

a = 8.3851 Å, b = 8.3851 Å, c = 8.3851 Å
α = 90.00°, β = 90.00°, γ = 90.00°
Space group F-43m (No. 216)
Inequivalent atoms, fractional coordinates:
Co 0.0000 0.0000 0.0000 [4 per cell]
Te 0.1245 0.1245 0.6245 [16 per cell]
Ir 0.2500 0.2500 0.2500 [4 per cell]

Summary:
Total DFT energy (no corrections)   -227.93 eV/f.u.
Density of states at the Fermi level   22.34 states/eV per cell
Total magnetization   13.28 Bohr magnetons per cell
Formation energy (no corrections)   1.5794 eV/atom

=====

Computed, not measured: a crystal of SrScIr4 relaxed with PBEsol at the SCAN level of DFT.

a = 7.4826 Å, b = 7.4826 Å, c = 7.4826 Å
α = 90.00°, β = 90.00°, γ = 90.00°
Space group F-43m (No. 216)
Inequivalent atoms, fractional coordinates:
Sr 0.0000 0.0000 0.0000 [4 per cell]
Sc 0.2500 0.2500 0.7500 [4 per cell]
Ir 0.1247 0.1247 0.3753 [16 per cell]

Summary:
Total DFT energy (no corrections)   -324.35 eV/f.u.
Energy of formation   -0.574 eV/atom
Density of states at the Fermi level   25.22 states/eV per cell
Total magnetization   0.00 Bohr magnetons per cell

=====

Computed, not measured: a crystal of Na2ZrGeO5 relaxed with PBEsol at the SCAN level of DFT.

a = 14.1384 Å, b = 5.5489 Å, c = 13.8766 Å
α = 90.00°, β = 119.11°, γ = 90.00°
Space group P2_1/c (No. 14)
Inequivalent atoms, fractional coordinates:
Na 0.0761 0.2311 0.1489 [4 per cell]
Na 0.1792 0.7315 0.8284 [4 per cell]
Na 0.3214 0.2500 0.1503 [4 per cell]
Na 0.4225 0.7301 0.0696 [4 per cell]
Zr 0.0628 0.2327 0.8688 [4 per cell]
Zr 0.4365 0.7376 0.8047 [4 per cell]
Ge 0.1584 0.7130 0.0657 [4 per cell]
Ge 0.3402 0.2195 0.9071 [4 per cell]
O 0.0027 0.5243 0.7714 [4 per cell]
O 0.0888 0.6925 0.6350 [4 per cell]
O 0.1213 0.6003 0.4515 [4 per cell]
O 0.1315 0.0952 0.5286 [4 per cell]
O 0.2019 0.2169 0.3545 [4 per cell]
O 0.2991 0.7339 0.1502 [4 per cell]
O 0.3588 0.5899 0.3895 [4 per cell]
O 0.3840 0.0962 0.3347 [4 per cell]
O 0.4129 0.2047 0.5477 [4 per cell]
O 0.4948 0.0343 0.7682 [4 per cell]

Summary:
Total DFT energy (no corrections)   -112.40 eV/f.u.
Density of states at the Fermi level   0.00 states/eV per cell
Total magnetization   0.00 Bohr magnetons per cell
Formation energy (no corrections)   -2.5582 eV/atom

=====

Computed, not measured: a crystal of HfCr2AsPd relaxed with PBEsol at the SCAN level of DFT.

a = 4.3718 Å, b = 4.3718 Å, c = 4.9045 Å
α = 90.00°, β = 90.00°, γ = 90.00°
Space group P4/mmm (No. 123)
Inequivalent atoms, fractional coordinates:
Hf 0.0000 0.0000 0.0000 [1 per cell]
Cr 0.0000 0.5000 0.5000 [2 per cell]
As 0.0000 0.0000 0.5000 [1 per cell]
Pd 0.5000 0.5000 0.0000 [1 per cell]

Summary:
Total DFT energy (no corrections)   -150.04 eV/f.u.
Energy of formation   0.474 eV/atom
Density of states at the Fermi level   4.42 states/eV per cell
Total magnetization   5.88 Bohr magnetons per cell

=====

Computed, not measured: a crystal of ZrPdBr2 relaxed with PBEsol at the SCAN level of DFT.

a = 7.1412 Å, b = 7.1412 Å, c = 6.6128 Å
α = 90.00°, β = 90.00°, γ = 90.00°
Space group I-42d (No. 122)
Inequivalent atoms, fractional coordinates:
Zr 0.0000 0.0000 0.0000 [4 per cell]
Pd 0.0000 0.0000 0.5000 [4 per cell]
Br 0.2429 0.7500 0.6250 [8 per cell]

Summary:
Total DFT energy (no corrections)   -103.01 eV/f.u.
Density of states at the Fermi level   6.38 states/eV per cell
Total magnetization   7.62 Bohr magnetons per cell
Formation energy (no corrections)   -0.1545 eV/atom

=====

Computed, not measured: a crystal of CdPtCl2 relaxed with PBEsol at the SCAN level of DFT.

a = 3.1525 Å, b = 3.1525 Å, c = 7.8680 Å
α = 90.00°, β = 90.00°, γ = 90.00°
Space group P4mm (No. 99)
Inequivalent atoms, fractional coordinates:
Cd 0.0000 0.0000 0.0000 [1 per cell]
Pt 0.5000 0.5000 0.7745 [1 per cell]
Cl 0.0000 0.0000 0.5768 [1 per cell]
Cl 0.5000 0.5000 0.2046 [1 per cell]

Summary:
Total DFT energy (no corrections)   -117.14 eV/f.u.
Density of states at the Fermi level   4.17 states/eV per cell
Total magnetization   0.00 Bohr magnetons per cell
Formation energy (no corrections)   -0.1430 eV/atom

=====

Computed, not measured: a crystal of CaIrSe2 relaxed with PBEsol at the SCAN level of DFT.

a = 3.4862 Å, b = 3.4862 Å, c = 25.6657 Å
α = 90.00°, β = 90.00°, γ = 120.00°
Space group R-3m (No. 166, hexagonal axes)
Inequivalent atoms, fractional coordinates:
Ca 0.0000 0.0000 0.0000 [3 per cell]
Ir 0.0000 0.0000 0.5000 [3 per cell]
Se 0.0000 0.0000 0.4099 [6 per cell]

Summary:
Total DFT energy (no corrections)   -121.09 eV/f.u.
Density of states at the Fermi level   10.52 states/eV per cell
Total magnetization   0.03 Bohr magnetons per cell
Polymorph energy (0 for the lowest one)   741 meV per atom
Formation energy (no corrections)   -0.0427 eV/atom

=====

Computed, not measured: a crystal of MgSn5 relaxed with PBEsol at the SCAN level of DFT.

a = 12.3545 Å, b = 3.4143 Å, c = 7.4999 Å
α = 90.00°, β = 106.02°, γ = 90.00°
Space group Cm (No. 8)
Inequivalent atoms, fractional coordinates:
Mg 0.0000 0.0000 0.0000 [2 per cell]
Sn 0.1172 0.5000 0.7526 [2 per cell]
Sn 0.1655 0.5000 0.3248 [2 per cell]
Sn 0.2945 0.0000 0.0741 [2 per cell]
Sn 0.3333 0.0000 0.6701 [2 per cell]
Sn 0.4574 0.5000 0.4068 [2 per cell]

Summary:
Total DFT energy (no corrections)   -183.89 eV/f.u.
Energy of formation   0.115 eV/atom
Density of states at the Fermi level   6.45 states/eV per cell
Total magnetization   0.00 Bohr magnetons per cell